# 1
NdTh3C2: optimized geometry, PBE-GGA.

DOS at the Fermi energy = 6.9 states/eV/f.u.
calculated volume = 603 Å³ per cell
formation enthalpy at 0 K = -0.181 eV/atom

Lattice parameters (Å, degrees): 16.6748 3.6776 12.7043 90.00 129.32 90.00
Space group C2/m (No. 12)
Symmetry-distinct sites (fractional):
Nd (0.1374, 0.0000, 0.1988) (multiplicity 4)
Th (0.1371, 0.5000, 0.4488) (multiplicity 4)
Th (0.1375, 0.5000, 0.9471) (multiplicity 4)
Th (0.1398, 0.0000, 0.6992) (multiplicity 4)
C (0.2454, 0.0000, 0.6163) (multiplicity 4)
C (0.2496, 0.0000, 0.1216) (multiplicity 4)

=====

# 2
CuPd2Pb2: optimized geometry, PBE-GGA.

DOS at the Fermi energy = 1.9 states/eV/f.u.
calculated volume = 204 Å³ per cell
formation enthalpy at 0 K = -0.045 eV/atom
excess energy over the best structure of this formula in the dataset = 0 meV/atom

Lattice parameters (Å, degrees): 7.0733 7.0733 4.0854 90.00 90.00 90.00
Space group P4/mbm (No. 127)
Symmetry-distinct sites (fractional):
Cu (0.0000, 0.0000, 0.0000) (multiplicity 2)
Pd (0.1427, 0.3573, 0.0000) (multiplicity 4)
Pb (0.1661, 0.6661, 0.5000) (multiplicity 4)

=====

# 3
MnAl2Mo: optimized geometry, PBE-GGA.

DOS at the Fermi energy = 2.9 states/eV/f.u.
calculated volume = 112 Å³ per cell
formation enthalpy at 0 K = -0.071 eV/atom

Lattice parameters (Å, degrees): 3.0034 4.3802 8.5063 90.00 90.00 90.00
Space group Immm (No. 71)
Symmetry-distinct sites (fractional):
Mn (0.0000, 0.0000, 0.0000) (multiplicity 2)
Al (0.0000, 0.5000, 0.2640) (multiplicity 4)
Mo (0.0000, 0.0000, 0.5000) (multiplicity 2)

=====

# 4
Ho2InBi: optimized geometry, PBE-GGA.

DOS at the Fermi energy = 2.8 states/eV/f.u.
calculated volume = 229 Å³ per cell
formation enthalpy at 0 K = -0.538 eV/atom
excess energy over the best structure of this formula in the dataset = 0 meV/atom

Lattice parameters (Å, degrees): 4.3964 4.4755 11.6201 90.00 90.00 90.00
Space group Amm2 (No. 38)
Symmetry-distinct sites (fractional):
Ho (0.0000, 0.0000, 0.0000) (multiplicity 2)
Ho (0.5000, 0.0000, 0.2633) (multiplicity 2)
In (0.5000, 0.0000, 0.5262) (multiplicity 2)
Bi (0.0000, 0.0000, 0.7261) (multiplicity 2)